# Al2V3Tc2 PBE optimized geometry
data_Al2V3Tc2
_chemical_formula_sum 'Al6 V9 Tc6'
_space_group_name_H-M_alt 'R -3 m'
_space_group_IT_number 166
_space_group_name_Hall '-R 3 2"'
_cell_length_a 4.3166
_cell_length_b 4.3166
_cell_length_c 18.3703
_cell_angle_alpha 90.00
_cell_angle_beta 90.00
_cell_angle_gamma 120.00
loop_
_atom_site_label
_atom_site_fract_x
_atom_site_fract_y
_atom_site_fract_z
Al1 0.0000 0.0000 0.0740
V1 0.0000 0.0000 0.3486
V2 0.0000 0.0000 0.5000
Tc1 0.0000 0.0000 0.2164
# Total magnetization (μB per cell): 0.00
# Energy of formation from the pure elements (eV per atom): -0.34